Density functional theory data (GGA-PBE) for an optimized crystal structure of BaCdFe3.

calculated volume: 25.4 A^3/atom
E above lowest polymorph: 0 meV per atom
DOS at the Fermi energy: 2.597 states/eV/atom
total magnetic moment: 8.746 μB/cell
symmetry: Pm-3m
E_tot: -22.41 eV/cell
energy of formation from the pure elements: 1.163 eV/atom

Geometry as CIF:
```
data_BaCdFe3
_symmetry_space_group_name_H-M 'P 1'
_symmetry_Int_Tables_number 1
_cell_length_a 5.0269
_cell_length_b 5.0269
_cell_length_c 5.0269
_cell_angle_alpha 90.00
_cell_angle_beta 90.00
_cell_angle_gamma 90.00
loop_
_symmetry_equiv_pos_as_xyz
'x,y,z'
loop_
_atom_site_label
_atom_site_type_symbol
_atom_site_fract_x
_atom_site_fract_y
_atom_site_fract_z
Fe1 Fe 0.0000 0.5000 0.0000
Fe2 Fe 0.0000 0.0000 0.5000
Fe3 Fe 0.5000 0.0000 0.0000
Ba1 Ba 0.5000 0.5000 0.5000
Cd1 Cd 0.0000 0.0000 0.0000
```